No. 1
12
Lattice="5.8602 0.0000 0.0000 0.0000 3.6198 0.0000 -1.2186 0.0000 18.9138" Properties=species:S:1:pos:R:3 comment="Pm7Y3Tm2 | Alexandria via LeMat-Bulk | PBE-GGA | optimized geometry" relative_energy_ev_per_atom=0.000 final_energy_ev_per_cell=-60.5 spacegroup="P2/m (10)" pbc="T T T"
Pm 0.0000 0.0000 0.0000
Pm 0.8324 1.8099 3.4627
Pm 0.8594 1.8099 10.1196
Pm 0.8412 0.0000 16.1511
Pm 3.8004 0.0000 2.7627
Pm 3.7822 1.8099 8.7942
Pm 3.8091 1.8099 15.4511
Y 0.8285 0.0000 6.9381
Y 2.9301 1.8099 0.0000
Y 3.8131 0.0000 11.9757
Tm 0.8588 1.8099 13.2932
Tm 3.7828 1.8099 5.6206



No. 2
4
Lattice="3.2513 0.0000 0.0000 0.0000 4.0543 0.0000 0.0000 0.0000 5.7061" Properties=species:S:1:pos:R:3 comment="CrSb2Os | Alexandria via LeMat-Bulk | PBE-GGA | optimized geometry" relative_energy_ev_per_atom=0.138 final_energy_ev_per_cell=-27.5 spacegroup="Pmm2 (25)" pbc="T T T"
Cr 0.0000 0.0000 0.0000
Sb 0.0000 0.0000 2.7400
Sb 1.6257 2.0271 4.8240
Os 1.6257 2.0271 1.8358



No. 3
5
Lattice="5.1766 0.0000 0.0000 0.0000 5.1766 0.0000 0.0000 0.0000 5.1766" Properties=species:S:1:pos:R:3 comment="CaEr3B | Alexandria via LeMat-Bulk | PBE-GGA | optimized geometry" final_energy_ev_per_cell=-22.1 spacegroup="Pm-3m (221)" pbc="T T T"
Ca 0.0000 0.0000 0.0000
Er 0.0000 2.5883 2.5883
Er 2.5883 0.0000 2.5883
Er 2.5883 2.5883 0.0000
B 2.5883 2.5883 2.5883



No. 4
5
Lattice="4.5438 0.0000 0.0000 0.0000 4.5438 0.0000 0.0000 0.0000 4.5438" Properties=species:S:1:pos:R:3 comment="RbBe3Pd | Alexandria via LeMat-Bulk | PBE-GGA | optimized geometry" relative_energy_ev_per_atom=0.000 final_energy_ev_per_cell=-15.2 spacegroup="Pm-3m (221)" pbc="T T T"
Rb 0.0000 0.0000 0.0000
Be 0.0000 2.2719 2.2719
Be 2.2719 0.0000 2.2719
Be 2.2719 2.2719 0.0000
Pd 2.2719 2.2719 2.2719